VASP calculation (PBE) on a relaxed structure of NbCo3B.

abc: 4.446 4.446 4.446
angles: 90.00 90.00 90.00
Space group Pm-3m (No. 221)
One atom of each set of equivalent atoms:
Nb  0.000  0.000  0.000
Co  0.000  0.000  0.500
B  0.500  0.500  0.500

Summary:
**Energy of formation**: 2.284 eV per atom
**Energy relative to the lowest polymorph listed for this composition**: 2406 meV/atom

=====

VASP calculation (PBE) on a relaxed structure of Pm2Si4NiPd3.

abc: 4.194 4.194 9.910
angles: 90.00 90.00 90.00
Space group P-4m2 (No. 115)
One atom of each set of equivalent atoms:
Pm  0.000  0.500  0.248
Si  0.000  0.000  0.500
Si  0.000  0.500  0.876
Si  0.500  0.500  0.500
Ni  0.500  0.500  0.000
Pd  0.000  0.000  0.000
Pd  0.000  0.500  0.627

Summary:
**Raw formation energy**: -853 meV/atom

=====

VASP calculation (PBE) on a relaxed structure of TcTeAs2Se.

abc: 4.971 4.971 4.683
angles: 90.00 90.00 90.00
Space group P4/mmm (No. 123)
One atom of each set of equivalent atoms:
Tc  0.000  0.000  0.000
Te  0.500  0.500  0.500
As  0.000  0.500  0.000
Se  0.000  0.000  0.500

Summary:
**Raw formation energy**: 375 meV/atom
**Energy relative to the lowest polymorph listed for this composition**: 0 meV/atom